Entry 1:
5
Lattice="5.199 0.000 0.000 0.000 5.199 0.000 0.000 0.000 5.199" Properties=species:S:1:pos:R:3 comment="PBE CuTe3I, relaxed" e_form_raw_ev_per_atom=0.3892 volume_a3_per_cell=140.5 energy_ev_per_fu=-13.1 n_ef_per_ev_fu=5.97 magmom_total_mub_per_cell=0.0 space_group="No. 221" pbc="T T T"
Te 0.000 2.599 0.000
Cu 0.000 0.000 0.000
Te 2.599 0.000 0.000
Te 0.000 0.000 2.599
I 2.599 2.599 2.599

Entry 2:
12
Lattice="6.896 0.000 1.851 0.000 8.425 0.000 -0.003 -4.213 7.616" Properties=species:S:1:pos:R:3 comment="PBE CuTe4I, relaxed" e_form_raw_ev_per_atom=0.0750 volume_a3_per_cell=442.5 energy_ev_per_fu=-17.8 n_ef_per_ev_fu=1.80 magmom_total_mub_per_cell=0.0 space_group="No. 12" pbc="T T T"
Te 1.690 4.213 3.136
Te 3.961 6.138 2.253
Te 5.202 0.000 6.331
Cu 1.219 4.213 0.464
Cu 5.674 0.000 9.003
I 5.773 4.213 5.567
Te 3.961 2.288 2.253
Te 0.000 6.477 0.000
I 1.120 0.000 3.900
Te 2.931 1.925 7.214
Te 2.931 -1.925 7.214
Te 0.000 1.949 0.000

Entry 3:
11
Lattice="7.583 1.188 0.988 1.296 9.329 2.636 1.296 4.297 8.690" Properties=species:S:1:pos:R:3 comment="PBE CuTe2I8, relaxed" e_form_raw_ev_per_atom=0.0007 volume_a3_per_cell=513.1 energy_ev_per_fu=-22.8 n_ef_per_ev_fu=7.73 magmom_total_mub_per_cell=0.0 space_group="No. 12" pbc="T T T"
Cu 0.000 0.000 0.000
I 2.825 8.854 4.689
Te 6.696 12.584 10.460
I 7.351 5.960 7.624
I 4.478 11.288 9.383
Te 3.480 2.230 1.854
I 5.698 3.526 2.931
I 1.632 3.775 3.137
I 7.351 8.585 4.466
I 8.544 11.039 9.176
I 2.825 6.229 7.847